CsGaAu4 (GGA-PBE, relaxed); symmetry = C2/m, No. 12
1.0
7.268 0.585 -0.346
-0.692 6.548 -3.475
1.469 -0.355 7.014
Cs Ga Au
2 2 8
direct
0.841 0.815 0.631
0.159 0.185 0.369
0.309 0.490 0.979
0.691 0.510 0.021
0.414 0.681 0.362
0.330 0.066 0.759
0.000 0.305 0.000
0.670 0.307 0.241
0.586 0.319 0.638
0.670 0.934 0.241
0.000 0.695 0.000
0.330 0.693 0.759



NaHg2IrO6 (GGA-PBE, relaxed); formation energy (no corrections) = -0.571 eV/atom; symmetry = R-3, No. 148
1.0
5.755 0.001 0.001
2.879 4.984 0.000
2.878 1.661 4.769
Na Hg Ir O
1 2 1 6
direct
0.816 0.816 0.552
0.563 0.562 0.312
0.070 0.070 0.792
0.316 0.316 0.052
0.523 0.210 0.285
0.210 0.983 0.284
0.982 0.523 0.284
0.422 0.650 0.819
0.650 0.109 0.819
0.110 0.422 0.818



La2TbPmPr4 (GGA-PBE, relaxed); symmetry = P2/m, No. 10
1.0
-2.642 -2.714 -3.603
4.485 -1.255 -2.344
5.216 -9.863 3.603
La Tb Pm Pr
2 1 1 4
direct
0.000 0.000 0.000
0.500 0.000 0.500
0.000 0.500 0.500
0.500 0.500 0.000
0.000 0.752 0.748
0.000 0.248 0.252
0.500 0.749 0.251
0.500 0.251 0.749



AcInAg2 (GGA-PBE, relaxed); symmetry = P4/mmm, No. 123
1.0
-1.922 -0.861 3.210
3.195 -1.499 1.510
1.706 6.391 2.736
Ac Ag In
1 2 1
direct
0.500 0.500 0.500
0.000 0.000 0.787
0.000 0.000 0.213
0.500 0.500 0.000



TiCrFeTc (GGA-PBE, relaxed); symmetry = F-43m, No. 216
1.0
4.196 0.000 0.000
2.098 3.633 0.000
2.098 1.211 3.426
Cr Ti Tc Fe
1 1 1 1
direct
0.000 0.000 0.000
0.500 0.500 0.500
0.250 0.250 0.250
0.750 0.750 0.750



Q: Which raw total energy values were calculated for the entries above? A: -3.04, -4.62, -4.78, -3.26, -9.23, in eV per atom.